Entry 1:
This record from Alexandria via LeMat-Bulk describes a geometry-optimized Sr2ZnGaO5 structure. The functional is PBE.

Uncorrected energy in eV/atom: -5.60
Theoretical density in Mg/m³: 5.2
Crystal system: orthorhombic
ΔE_f (raw) in meV/atom: -1997

a = 3.3284 Å, b = 15.1146 Å, c = 9.9585 Å
α = 90.00°, β = 90.00°, γ = 90.00°
Closest atoms and distances in Å follow each position.
Space group Cmc2_1 (No. 36)
Unique sites:
1 Sr 0.0000 0.1128 0.0000  6 O 2.50-2.64
2 Sr 0.0000 0.1181 0.6261  7 O 2.56-2.73
3 Zn 0.0000 0.2292 0.3422  5 O 1.96-2.16
4 Ga 0.0000 0.4418 0.7889  4 O 1.85-1.94
5 O 0.0000 0.0423 0.3769  2 Ga 1.90
6 O 0.0000 0.2869 0.9785  2 Zn 2.16
7 O 0.0000 0.3191 0.7321  1 Ga 1.94, 2 Zn 2.12
8 O 0.0000 0.3581 0.3174  1 Zn 1.96
9 O 0.0000 0.4894 0.6181  1 Ga 1.85

Entry 2:
This record from Alexandria via LeMat-Bulk describes a geometry-optimized SrZn2GaO4 structure. The functional is PBE.

Uncorrected energy in eV/atom: -5.08
Theoretical density in Mg/m³: 5.3
Crystal system: tetragonal
ΔE_f (raw) in meV/atom: -1692

a = 5.4422 Å, b = 5.4422 Å, c = 7.5005 Å
α = 90.00°, β = 90.00°, γ = 90.00°
Closest atoms and distances in Å follow each position.
Space group I-42m (No. 121)
Unique sites:
1 Sr 0.0000 0.0000 0.0000  4 O 2.55
2 Zn 0.0000 0.5000 0.2500  4 O 2.10
3 Ga 0.0000 0.0000 0.5000  4 O 1.91
4 O 0.2018 0.2018 0.3516  1 Ga 1.91, 2 Zn 2.10

Entry 3:
This record from Alexandria via LeMat-Bulk describes a geometry-optimized Sr2ZnGaO structure. The functional is PBE.

Uncorrected energy in eV/atom: -2.85
Theoretical density in Mg/m³: 3.8
Crystal system: tetragonal
ΔE_f (raw) in meV/atom: -323

a = 6.2002 Å, b = 6.2002 Å, c = 3.7392 Å
α = 90.00°, β = 90.00°, γ = 90.00°
Closest atoms and distances in Å follow each position.
Space group P4/mmm (No. 123)
Unique sites:
1 Sr 0.0000 0.5000 0.0000  2 Zn 3.10
2 Zn 0.0000 0.0000 0.0000  2 O 1.87
3 Ga 0.5000 0.5000 0.5000  8 Sr 3.62, 2 Ga 3.74
4 O 0.0000 0.0000 0.5000  2 Zn 1.87

Entry 4:
This record from Alexandria via LeMat-Bulk describes a geometry-optimized SrZrGa2O6 structure. The functional is PBE.

Uncorrected energy in eV/atom: -7.06
Theoretical density in Mg/m³: 4.7
Crystal system: trigonal
ΔE_f (raw) in meV/atom: -2460

a = 5.3296 Å, b = 5.3296 Å, c = 17.8159 Å
α = 90.00°, β = 90.00°, γ = 120.00°
Closest atoms and distances in Å follow each position.
Space group R-3 (No. 148, hexagonal axes)
Unique sites:
1 Sr 0.0000 0.0000 0.0000  6 O 2.55
2 Zr 0.0000 0.0000 0.5000  6 O 2.14
3 Ga 0.0000 0.0000 0.1808  6 O 1.96-2.16
4 O 0.0093 0.6580 0.5601  2 Ga 1.96-2.16, 1 Zr 2.14

Entry 5:
This record from Alexandria via LeMat-Bulk describes a geometry-optimized Sr3ZrGa2O8 structure. The functional is PBE.

Uncorrected energy in eV/atom: -6.83
Theoretical density in Mg/m³: 4.9
Crystal system: trigonal
ΔE_f (raw) in meV/atom: -2596

a = 5.7826 Å, b = 5.7826 Å, c = 7.2278 Å
α = 90.00°, β = 90.00°, γ = 120.00°
Closest atoms and distances in Å follow each position.
Space group P-3m1 (No. 164)
Unique sites:
1 Sr 0.0000 0.0000 0.0000  6 O 2.89
2 Sr 0.3333 0.6667 0.6460  1 O 2.26
3 Zr 0.0000 0.0000 0.5000  6 O 2.10
4 Ga 0.3333 0.6667 0.2027  4 O 1.77-1.88
5 O 0.1672 0.3344 0.3252  1 Ga 1.88, 1 Zr 2.10
6 O 0.3333 0.6667 0.9581  1 Ga 1.77

Entry 6:
This record from Alexandria via LeMat-Bulk describes a geometry-optimized TaGaO2 structure. The functional is PBE.

Uncorrected energy in eV/atom: -7.85
Theoretical density in Mg/m³: 8.8
Crystal system: trigonal
ΔE_f (raw) in meV/atom: -1648

a = 2.9445 Å, b = 2.9445 Å, c = 21.4103 Å
α = 90.00°, β = 90.00°, γ = 120.00°
Closest atoms and distances in Å follow each position.
Space group R-3m (No. 166, hexagonal axes)
Unique sites:
1 Ta 0.0000 0.0000 0.0000  6 O 2.13
2 Ga 0.0000 0.0000 0.5000  2 O 2.29
3 O 0.0000 0.0000 0.3932  3 Ta 2.13, 1 Ga 2.29

Entry 7:
This record from Alexandria via LeMat-Bulk describes a geometry-optimized Ta2Ga2O structure. The functional is PBE.

Uncorrected energy in eV/atom: -6.75
Theoretical density in Mg/m³: 11.0
Crystal system: tetragonal
ΔE_f (raw) in meV/atom: 195

a = 5.6962 Å, b = 5.6962 Å, c = 4.8242 Å
α = 90.00°, β = 90.00°, γ = 90.00°
Closest atoms and distances in Å follow each position.
Space group P4/mbm (No. 127)
Unique sites:
1 Ta 0.1754 0.3246 0.0000  6 Ga 2.75-3.08, 5 Ta 2.83-2.97
2 Ga 0.1594 0.6594 0.5000  2 O 2.14
3 O 0.0000 0.0000 0.5000  4 Ga 2.14

Entry 8:
This record from Alexandria via LeMat-Bulk describes a geometry-optimized TaGaO6 structure. The functional is PBE.

Uncorrected energy in eV/atom: -6.78
Theoretical density in Mg/m³: 4.7
Crystal system: cubic
ΔE_f (raw) in meV/atom: -1198

a = 7.8578 Å, b = 7.8578 Å, c = 7.8578 Å
α = 90.00°, β = 90.00°, γ = 90.00°
Closest atoms and distances in Å follow each position.
Space group Fm-3m (No. 225)
Unique sites:
1 Ta 0.0000 0.0000 0.0000  6 O 1.97
2 Ga 0.0000 0.0000 0.5000  6 O 1.96
3 O 0.0000 0.0000 0.2511  1 Ga 1.96, 1 Ta 1.97